Compound: TlZnMo2
Source: Alexandria
Functional: GGA-PBE
Structure: relaxed

a b c (Å): 6.473 6.473 6.473
angles (deg): 90.00 90.00 90.00
Space group Fm-3m (No. 225)
Unique sites:
1 Tl 0.000 0.000 0.000 (multiplicity 4)
2 Zn 0.000 0.000 0.500 (multiplicity 4)
3 Mo 0.250 0.250 0.250 (multiplicity 8)

Values from the calculation:
Mass density, g/cm³: 11.308
Magnetization, μB per cell: 0.00
Calculated formation energy, eV/atom: 0.7477
Relative energy among the computed polymorphs, meV/atom: 412

Compound: SbAsS2
Source: Alexandria
Functional: GGA-PBE
Structure: relaxed

a b c (Å): 6.402 13.160 5.479
angles (deg): 90.00 90.00 90.00
Space group Pna2_1 (No. 33)
Unique sites:
1 Sb 0.064 0.101 0.000 (multiplicity 4)
2 As 0.003 0.520 0.486 (multiplicity 4)
3 S 0.035 0.081 0.470 (multiplicity 4)
4 S 0.165 0.335 0.976 (multiplicity 4)

Values from the calculation:
Mass density, g/cm³: 3.753
Magnetization, μB per cell: 0.00
Relative energy among the computed polymorphs, meV/atom: 0

Compound: NaPr2PdO5
Source: Alexandria
Functional: GGA-PBE
Structure: relaxed

a b c (Å): 6.873 6.873 5.861
angles (deg): 90.00 90.00 90.00
Space group P4/mbm (No. 127)
Unique sites:
1 Na 0.000 0.000 0.000 (multiplicity 2)
2 Pr 0.175 0.325 0.500 (multiplicity 4)
3 Pd 0.000 0.500 0.000 (multiplicity 2)
4 O 0.000 0.000 0.500 (multiplicity 2)
5 O 0.136 0.636 0.252 (multiplicity 8)

Values from the calculation:
Mass density, g/cm³: 5.892
Magnetization, μB per cell: 2.10
Raw total energy, eV/cell: -120.213

Compound: Er2Ag2Pd
Source: Alexandria
Functional: GGA-PBE
Structure: relaxed

a b c (Å): 6.422 12.536 5.590
angles (deg): 90.00 90.00 90.00
Space group Ibam (No. 72)
Unique sites:
1 Er 0.201 0.166 0.000 (multiplicity 8)
2 Ag 0.149 0.408 0.000 (multiplicity 8)
3 Pd 0.000 0.000 0.250 (multiplicity 4)

Values from the calculation:
Mass density, g/cm³: 9.693
Magnetization, μB per cell: 0.00
Calculated formation energy, eV/atom: -0.3898

Compound: PaTlRe2O8
Source: Alexandria
Functional: GGA-PBE
Structure: relaxed

a b c (Å): 5.9911 5.9911 7.8923
angles (deg): 90.00 90.00 120.00
Space group P-3 (No. 147)
Unique sites:
1 Pa 0.0000 0.0000 0.0000 (multiplicity 1)
2 Tl 0.0000 0.0000 0.5000 (multiplicity 1)
3 Re 0.3333 0.6667 0.2652 (multiplicity 2)
4 O 0.1655 0.3363 0.1706 (multiplicity 6)
5 O 0.3333 0.6667 0.4882 (multiplicity 2)

Values from the calculation:
Mass density, g/cm³: 6.334
Magnetization, μB per cell: 3.94
Raw total energy, eV/cell: -98.052

Compound: Na3Sm2HoSe6
Source: Alexandria
Functional: GGA-PBE
Structure: relaxed

a b c (Å): 7.270 12.593 7.421
angles (deg): 90.00 109.07 90.00
Space group C2/m (No. 12)
Unique sites:
1 Na 0.000 0.000 0.000 (multiplicity 2)
2 Na 0.000 0.333 0.000 (multiplicity 4)
3 Sm 0.000 0.167 0.500 (multiplicity 4)
4 Ho 0.000 0.500 0.500 (multiplicity 2)
5 Se 0.241 0.336 0.732 (multiplicity 8)
6 Se 0.250 0.000 0.732 (multiplicity 4)

Values from the calculation:
Mass density, g/cm³: 5.216
Magnetization, μB per cell: 0.00
Raw total energy, eV/cell: -118.498

Compound: Pm3Sn2Pt
Source: Alexandria
Functional: GGA-PBE
Structure: relaxed

a b c (Å): 12.460 4.574 11.939
angles (deg): 90.00 90.00 90.00
Space group Pnma (No. 62)
Unique sites:
1 Pm 0.053 0.250 0.129 (multiplicity 4)
2 Pm 0.121 0.750 0.553 (multiplicity 4)
3 Pm 0.231 0.250 0.802 (multiplicity 4)
4 Sn 0.004 0.750 0.307 (multiplicity 4)
5 Sn 0.188 0.750 0.005 (multiplicity 4)
6 Pt 0.124 0.250 0.372 (multiplicity 4)

Values from the calculation:
Mass density, g/cm³: 8.469
Magnetization, μB per cell: 0.01
Calculated formation energy, eV/atom: -0.8877
Relative energy among the computed polymorphs, meV/atom: 0

Compound: NaInBr
Source: Alexandria
Functional: GGA-PBE
Structure: relaxed

a b c (Å): 10.029 6.029 6.046
angles (deg): 90.00 90.00 90.00
Space group Aem2 (No. 39)
Unique sites:
1 Na 0.144 0.250 0.000 (multiplicity 4)
2 In 0.498 0.250 0.253 (multiplicity 4)
3 Br 0.154 0.250 0.500 (multiplicity 4)

Values from the calculation:
Mass density, g/cm³: 3.956
Magnetization, μB per cell: 0.00
Relative energy among the computed polymorphs, meV/atom: 8